{"formula": "Nb4As", "functional": "GGA-PBE", "state": "optimized geometry", "lattice_angstrom": [[4.7253, 0.0000, 0.0000], [0.0000, 4.7253, 0.0000], [0.0000, 0.0000, 4.7253]], "species": ["Nb", "Nb", "Nb", "Nb", "As"], "fractional_positions": [[0.0000, 0.0000, 0.0000], [0.0000, 0.5000, 0.5000], [0.5000, 0.0000, 0.5000], [0.5000, 0.5000, 0.0000], [0.5000, 0.5000, 0.5000]], "e_tot_ev_per_atom": -8.2899, "e_form_ev_per_atom": 0.696}